AgTe2Pb: optimized geometry, PBE.

Computed properties:
D(E_F)	2.8	states/eV/f.u.
DFT total energy	-3.250	eV per atom
formation energy from raw total energies	-0.039	eV/atom

abc: 4.5380 4.5380 21.3717
angles: 90.00 90.00 120.00
Space group R3m (No. 160, hexagonal axes)
Symmetry-distinct sites (fractional):
Ag (0.0000, 0.0000, 0.0000) [3 per cell]
Te (0.0000, 0.0000, 0.4902) [3 per cell]
Te (0.0000, 0.0000, 0.7031) [3 per cell]
Pb (0.0000, 0.0000, 0.2359) [3 per cell]